## K2BaCl (GGA-PBE)

Data for crystalline K2BaCl at its relaxed geometry.

```
K2BaCl
1.0
-0.818 -7.328 -4.907
3.940 -7.919 0.471
-4.175 6.453 4.402
K Ba Cl
2 1 1
direct
0.500 0.500 0.000
0.000 0.000 0.000
0.250 0.750 0.500
0.750 0.250 0.500
```

Calculated values
DOS(E_F) ... 2.973 states/eV per cell
Spin magnetization ... 0.00 μB per atom
Relative energy among the computed polymorphs ... 285 meV per atom
ΔE_f (raw) ... -585 meV/atom